Compound: Fe2Te3
Source: OQMD via LeMat-Bulk
Functional: PBE
Structure: optimized geometry

Summary:
- Volume: 622.9 Å³/cell
- DFT total energy: -5.262 eV/atom
- Spin magnetization: 14.593 μB/cell

The structure in CIF format:
```
data_Fe2Te3
_symmetry_space_group_name_H-M 'R -3'
_symmetry_Int_Tables_number 148
_symmetry_space_group_name_Hall '-R 3'
_cell_length_a 6.6450
_cell_length_b 6.6450
_cell_length_c 16.2893
_cell_angle_alpha 90.00
_cell_angle_beta 90.00
_cell_angle_gamma 120.00
loop_
_atom_site_label
_atom_site_type_symbol
_atom_site_fract_x
_atom_site_fract_y
_atom_site_fract_z
Fe1 Fe 0.0000 0.0000 0.0000
Fe2 Fe 0.0000 0.0000 0.1595
Fe3 Fe 0.0000 0.0000 0.5000
Te1 Te 0.0001 0.3472 0.9149
```

Compound: HfBiO3
Source: OQMD via LeMat-Bulk
Functional: PBE
Structure: optimized geometry

Summary:
- Volume: 458.9 Å³/cell
- DFT total energy: -8.039 eV/atom
- Spin magnetization: 0.004 μB/cell

The structure in CIF format:
```
data_HfBiO3
_symmetry_space_group_name_H-M 'R -3'
_symmetry_Int_Tables_number 148
_symmetry_space_group_name_Hall '-R 3'
_cell_length_a 5.4243
_cell_length_b 5.4243
_cell_length_c 18.0114
_cell_angle_alpha 90.00
_cell_angle_beta 90.00
_cell_angle_gamma 120.00
loop_
_atom_site_label
_atom_site_type_symbol
_atom_site_fract_x
_atom_site_fract_y
_atom_site_fract_z
Hf1 Hf 0.0000 0.0000 0.1591
Bi1 Bi 0.0000 0.0000 0.3585
O1 O 0.0117 0.6474 0.4372
```

Compound: BaTc2Ir
Source: OQMD via LeMat-Bulk
Functional: PBE
Structure: optimized geometry

Summary:
- Volume: 302.5 Å³/cell
- DFT total energy: -6.743 eV/atom
- Spin magnetization: 5.079 μB/cell

The structure in CIF format:
```
data_BaTc2Ir
_symmetry_space_group_name_H-M 'F -4 3 m'
_symmetry_Int_Tables_number 216
_symmetry_space_group_name_Hall 'F -4 2 3'
_cell_length_a 6.713
_cell_length_b 6.713
_cell_length_c 6.713
_cell_angle_alpha 90.00
_cell_angle_beta 90.00
_cell_angle_gamma 90.00
loop_
_atom_site_label
_atom_site_type_symbol
_atom_site_fract_x
_atom_site_fract_y
_atom_site_fract_z
Ba1 Ba 0.000 0.000 0.000
Tc1 Tc 0.000 0.000 0.500
Tc2 Tc 0.250 0.250 0.750
Ir1 Ir 0.250 0.250 0.250
```

Compound: SrPrO3
Source: OQMD via LeMat-Bulk
Functional: PBE
Structure: optimized geometry

Summary:
- Volume: 528.4 Å³/cell
- DFT total energy: -6.851 eV/atom
- Spin magnetization: 6.002 μB/cell

The structure in CIF format:
```
data_SrPrO3
_symmetry_space_group_name_H-M 'R -3'
_symmetry_Int_Tables_number 148
_symmetry_space_group_name_Hall '-R 3'
_cell_length_a 6.1914
_cell_length_b 6.1914
_cell_length_c 15.9151
_cell_angle_alpha 90.00
_cell_angle_beta 90.00
_cell_angle_gamma 120.00
loop_
_atom_site_label
_atom_site_type_symbol
_atom_site_fract_x
_atom_site_fract_y
_atom_site_fract_z
Sr1 Sr 0.0000 0.0000 0.1369
Pr1 Pr 0.0000 0.0000 0.3592
O1 O 0.0162 0.7260 0.2534
```

DFT total energy of number 1 (Fe2Te3)?
-5.262 eV/atom